#a
Compound: Nd12Y7Th
Source: the Alexandria database
Functional: GGA-PBE
Structure: relaxed

```
Nd12Y7Th
1.0
-5.829 5.829 5.829
5.829 -5.829 5.829
5.829 5.829 -5.829
Nd Y Th
12 7 1
Direct
0.000 0.225 0.775
0.000 0.775 0.225
0.225 0.000 0.775
0.225 0.225 0.451
0.225 0.451 0.225
0.225 0.775 0.000
0.451 0.225 0.225
0.549 0.775 0.775
0.775 0.000 0.225
0.775 0.225 0.000
0.775 0.549 0.775
0.775 0.775 0.549
0.000 0.000 0.500
0.000 0.500 0.000
0.000 0.500 0.500
0.500 0.000 0.000
0.500 0.000 0.500
0.500 0.500 0.000
0.500 0.500 0.500
0.000 0.000 0.000
```

## Properties
Its calculated density is 5418 kg/m3. The calculation puts the total magnetization at 0.00 μB/f.u.


#b
Compound: Nd12Y7Th
Source: the Alexandria database
Functional: GGA-PBE
Structure: relaxed

```
Nd12Y7Th
1.0
6.255 3.611 5.095
-6.255 3.611 5.095
0.000 -7.222 5.095
Nd Y Th
12 7 1
Direct
0.001 0.122 0.646
0.122 0.646 0.001
0.225 0.765 0.627
0.235 0.373 0.775
0.354 0.999 0.878
0.373 0.775 0.235
0.627 0.225 0.765
0.646 0.001 0.122
0.765 0.627 0.225
0.775 0.235 0.373
0.878 0.354 0.999
0.999 0.878 0.354
0.000 0.000 0.000
0.121 0.441 0.349
0.349 0.121 0.441
0.441 0.349 0.121
0.559 0.651 0.879
0.651 0.879 0.559
0.879 0.559 0.651
0.500 0.500 0.500
```

## Properties
Its calculated density is 6217 kg/m3. The calculation puts the total magnetization at 0.00 μB/f.u.


Quick one: most stable of them? #b


#a
Compound: Nd3Y2Th
Source: the Alexandria database
Functional: GGA-PBE
Structure: relaxed

```
Nd3Y2Th
1.0
6.315 0.000 0.000
-2.108 7.820 0.000
-0.027 -3.300 8.218
Nd Y Th
6 4 2
Direct
0.040 0.370 0.290
0.125 0.121 0.877
0.380 0.378 0.622
0.620 0.622 0.378
0.875 0.879 0.123
0.960 0.630 0.710
0.215 0.878 0.459
0.296 0.633 0.041
0.704 0.367 0.959
0.785 0.122 0.541
0.462 0.121 0.203
0.538 0.879 0.797
```

## Properties
Its calculated density is 6895 kg/m3. The calculation puts the total magnetization at 0.00 μB/f.u.


#b
Compound: Nd3Y2Th
Source: the Alexandria database
Functional: GGA-PBE
Structure: relaxed

```
Nd3Y2Th
1.0
4.750 -6.646 0.000
4.750 6.646 0.000
0.000 0.000 6.580
Nd Y Th
6 4 2
Direct
0.086 0.914 0.500
0.137 0.496 0.273
0.496 0.137 0.773
0.504 0.863 0.273
0.863 0.504 0.773
0.914 0.086 0.000
0.244 0.393 0.758
0.393 0.244 0.258
0.607 0.756 0.758
0.756 0.607 0.258
0.171 0.829 0.981
0.829 0.171 0.481
```

## Properties
Its calculated density is 6735 kg/m3. The calculation puts the total magnetization at 0.00 μB/f.u.


Quick one: most stable of them? #a


#a
Compound: Nd3YTh2
Source: the Alexandria database
Functional: GGA-PBE
Structure: relaxed

```
Nd3YTh2
1.0
3.478 -8.821 0.000
3.478 8.821 0.000
0.000 0.000 6.689
Nd Y Th
6 2 4
Direct
0.079 0.425 0.750
0.147 0.853 0.750
0.425 0.079 0.250
0.575 0.921 0.750
0.853 0.147 0.250
0.921 0.575 0.250
0.353 0.647 0.250
0.647 0.353 0.750
0.253 0.253 0.000
0.253 0.253 0.500
0.747 0.747 0.000
0.747 0.747 0.500
```

## Properties
Its calculated density is 7976 kg/m3. The calculation puts the total magnetization at 0.00 μB/f.u.


#b
Compound: Nd3YTh2
Source: the Alexandria database
Functional: GGA-PBE
Structure: relaxed

```
Nd3YTh2
1.0
10.234 0.000 0.000
0.000 3.636 0.000
-0.063 0.000 10.864
Nd Y Th
6 2 4
Direct
0.124 0.250 0.250
0.137 0.250 0.917
0.366 0.750 0.416
0.634 0.250 0.584
0.863 0.750 0.083
0.876 0.750 0.750
0.375 0.750 0.749
0.625 0.250 0.251
0.120 0.250 0.581
0.384 0.750 0.081
0.616 0.250 0.919
0.880 0.750 0.419
```

## Properties
Its calculated density is 8099 kg/m3. The calculation puts the total magnetization at 0.00 μB/f.u.


Quick one: most stable of them? #b


#a
Compound: Nd3Y4Th
Source: the Alexandria database
Functional: GGA-PBE
Structure: relaxed

```
Nd3Y4Th
1.0
23.655 0.000 0.000
0.000 3.476 0.000
-1.988 0.000 6.580
Nd Y Th
6 8 2
Direct
0.000 0.000 0.000
0.123 0.000 0.863
0.377 0.500 0.137
0.500 0.500 0.000
0.623 0.500 0.863
0.877 0.000 0.137
0.124 0.000 0.388
0.242 0.500 0.739
0.258 0.000 0.261
0.376 0.500 0.612
0.624 0.500 0.388
0.742 0.000 0.739
0.758 0.500 0.261
0.876 0.000 0.612
0.000 0.500 0.500
0.500 0.000 0.500
```

## Properties
Its calculated density is 6264 kg/m3. The calculation puts the total magnetization at 0.00 μB/f.u.


#b
Compound: Nd3Y4Th
Source: the Alexandria database
Functional: GGA-PBE
Structure: relaxed

```
Nd3Y4Th
1.0
11.940 0.000 0.000
0.000 13.459 0.000
0.000 0.000 3.417
Nd Y Th
6 8 2
Direct
0.000 0.000 0.000
0.250 0.250 0.500
0.250 0.750 0.500
0.500 0.500 0.000
0.750 0.250 0.500
0.750 0.750 0.500
0.000 0.252 0.000
0.000 0.748 0.000
0.241 0.500 0.500
0.259 0.000 0.500
0.500 0.248 0.000
0.500 0.752 0.000
0.741 0.000 0.500
0.759 0.500 0.500
0.000 0.500 0.000
0.500 0.000 0.000
```

## Properties
Its calculated density is 6170 kg/m3. The calculation puts the total magnetization at 0.00 μB/f.u.


Quick one: most stable of them? #a